# SmAsPd4 GGA-PBE relaxed
# * energy of formation: -0.63 eV per atom
data_SmAsPd4
_chemical_formula_sum 'Sm2 As2 Pd8'
_space_group_name_H-M_alt 'P m m a'
_space_group_IT_number 51
_cell_length_a 7.512
_cell_length_b 4.116
_cell_length_c 7.056
_cell_angle_alpha 90.00
_cell_angle_beta 90.00
_cell_angle_gamma 90.00
loop_
_space_group_symop_operation_xyz
'x,y,z'
'-x,-y,-z'
'-x+1/2,-y,z'
'x+1/2,y,-z'
'x+1/2,-y,-z'
'-x+1/2,y,z'
'-x,y,-z'
'x,-y,z'
loop_
_atom_site_label
_atom_site_type_symbol
_atom_site_fract_x
_atom_site_fract_y
_atom_site_fract_z
_atom_site_occupancy
Sm1 Sm 0.250 0.000 0.140 1
As1 As 0.250 0.000 0.727 1
Pd1 Pd 0.000 0.000 0.500 1
Pd2 Pd 0.054 0.500 0.804 1
Pd3 Pd 0.250 0.500 0.438 1



# Sm3As2Pd7 GGA-PBE relaxed
# * energy of formation: -0.82 eV per atom
data_Sm3As2Pd7
_chemical_formula_sum 'Sm6 As4 Pd14'
_space_group_name_H-M_alt 'I 4/m m m'
_space_group_IT_number 139
_space_group_name_Hall '-I 4 2'
_cell_length_a 4.099
_cell_length_b 4.099
_cell_length_c 27.623
_cell_angle_alpha 90.00
_cell_angle_beta 90.00
_cell_angle_gamma 90.00
loop_
_atom_site_label
_atom_site_type_symbol
_atom_site_fract_x
_atom_site_fract_y
_atom_site_fract_z
_atom_site_occupancy
Sm1 Sm 0.000 0.000 0.000 1
Sm2 Sm 0.000 0.000 0.171 1
As1 As 0.000 0.000 0.368 1
Pd1 Pd 0.000 0.000 0.275 1
Pd2 Pd 0.000 0.000 0.500 1
Pd3 Pd 0.000 0.500 0.078 1



# Sm2AsPd3 GGA-PBE relaxed
# * energy of formation: -0.91 eV per atom
data_Sm2AsPd3
_chemical_formula_sum 'Sm16 As8 Pd24'
_space_group_name_H-M_alt 'F m m m'
_space_group_IT_number 69
_space_group_name_Hall '-F 2 2'
_cell_length_a 7.533
_cell_length_b 8.788
_cell_length_c 15.561
_cell_angle_alpha 90.00
_cell_angle_beta 90.00
_cell_angle_gamma 90.00
loop_
_atom_site_label
_atom_site_type_symbol
_atom_site_fract_x
_atom_site_fract_y
_atom_site_fract_z
_atom_site_occupancy
Sm1 Sm 0.244 0.000 0.000 1
Sm2 Sm 0.250 0.250 0.250 1
As1 As 0.000 0.000 0.335 1
Pd1 Pd 0.000 0.000 0.175 1
Pd2 Pd 0.000 0.243 0.415 1



# Sm2As4Pd5 GGA-PBE relaxed
# * energy of formation: -0.64 eV per atom
data_Sm2As4Pd5
_chemical_formula_sum 'Sm8 As16 Pd20'
_space_group_name_H-M_alt 'F m m m'
_space_group_IT_number 69
_space_group_name_Hall '-F 2 2'
_cell_length_a 5.739
_cell_length_b 9.828
_cell_length_c 15.287
_cell_angle_alpha 90.00
_cell_angle_beta 90.00
_cell_angle_gamma 90.00
loop_
_atom_site_label
_atom_site_type_symbol
_atom_site_fract_x
_atom_site_fract_y
_atom_site_fract_z
_atom_site_occupancy
Sm1 Sm 0.000 0.000 0.139 1
As1 As 0.000 0.149 0.369 1
Pd1 Pd 0.000 0.000 0.500 1
Pd2 Pd 0.250 0.250 0.000 1
Pd3 Pd 0.250 0.250 0.250 1



# SmAsPd GGA-PBE relaxed
# * energy of formation: -0.77 eV per atom
data_SmAsPd
_chemical_formula_sum 'Sm2 As2 Pd2'
_space_group_name_H-M_alt 'I 4 m m'
_space_group_IT_number 107
_space_group_name_Hall 'I 4 -2'
_cell_length_a 3.988
_cell_length_b 3.988
_cell_length_c 8.395
_cell_angle_alpha 90.00
_cell_angle_beta 90.00
_cell_angle_gamma 90.00
loop_
_atom_site_label
_atom_site_type_symbol
_atom_site_fract_x
_atom_site_fract_y
_atom_site_fract_z
_atom_site_occupancy
Sm1 Sm 0.000 0.000 0.000 1
As1 As 0.000 0.000 0.656 1
Pd1 Pd 0.000 0.000 0.351 1



# SmAsPd6 GGA-PBE relaxed
# * energy of formation: -0.33 eV per atom
data_SmAsPd6
_chemical_formula_sum 'Sm3 As3 Pd18'
_space_group_name_H-M_alt 'R -3 m'
_space_group_IT_number 166
_space_group_name_Hall '-R 3 2"'
_cell_length_a 5.5777
_cell_length_b 5.5777
_cell_length_c 18.4158
_cell_angle_alpha 90.00
_cell_angle_beta 90.00
_cell_angle_gamma 120.00
loop_
_atom_site_label
_atom_site_type_symbol
_atom_site_fract_x
_atom_site_fract_y
_atom_site_fract_z
_atom_site_occupancy
Sm1 Sm 0.0000 0.0000 0.0000 1
As1 As 0.0000 0.0000 0.5000 1
Pd1 Pd 0.0106 0.5053 0.9272 1



# SmAs2Pd4 GGA-PBE relaxed
# * energy of formation: -0.67 eV per atom
data_SmAs2Pd4
_chemical_formula_sum 'Sm2 As4 Pd8'
_space_group_name_H-M_alt 'C m m m'
_space_group_IT_number 65
_space_group_name_Hall '-C 2 2'
_cell_length_a 4.304
_cell_length_b 13.582
_cell_length_c 4.344
_cell_angle_alpha 90.00
_cell_angle_beta 90.00
_cell_angle_gamma 90.00
loop_
_atom_site_label
_atom_site_type_symbol
_atom_site_fract_x
_atom_site_fract_y
_atom_site_fract_z
_atom_site_occupancy
Sm1 Sm 0.000 0.000 0.000 1
As1 As 0.000 0.408 0.500 1
Pd1 Pd 0.000 0.180 0.500 1
Pd2 Pd 0.000 0.322 0.000 1



# SmAsPd2 GGA-PBE relaxed
# * energy of formation: -0.74 eV per atom
data_SmAsPd2
_chemical_formula_sum 'Sm3 As3 Pd6'
_space_group_name_H-M_alt 'R -3 m'
_space_group_IT_number 166
_space_group_name_Hall '-R 3 2"'
_cell_length_a 4.4264
_cell_length_b 4.4264
_cell_length_c 14.1218
_cell_angle_alpha 90.00
_cell_angle_beta 90.00
_cell_angle_gamma 120.00
loop_
_atom_site_label
_atom_site_type_symbol
_atom_site_fract_x
_atom_site_fract_y
_atom_site_fract_z
_atom_site_occupancy
Sm1 Sm 0.0000 0.0000 0.0000 1
As1 As 0.0000 0.0000 0.5000 1
Pd1 Pd 0.0000 0.0000 0.2143 1



# SrSmAs2Pd2 GGA-PBE relaxed
# * energy of formation: -1.10 eV per atom
data_SrSmAs2Pd2
_chemical_formula_sum 'Sr1 Sm1 As2 Pd2'
_space_group_name_H-M_alt 'P -3 m 1'
_space_group_IT_number 164
_space_group_name_Hall '-P 3 2"'
_cell_length_a 4.3384
_cell_length_b 4.3384
_cell_length_c 8.3503
_cell_angle_alpha 90.00
_cell_angle_beta 90.00
_cell_angle_gamma 120.00
loop_
_atom_site_label
_atom_site_type_symbol
_atom_site_fract_x
_atom_site_fract_y
_atom_site_fract_z
_atom_site_occupancy
Sr1 Sr 0.0000 0.0000 0.0000 1
Sm1 Sm 0.0000 0.0000 0.5000 1
As1 As 0.3333 0.6667 0.2692 1
Pd1 Pd 0.3333 0.6667 0.7347 1



# Sr2SmAs3Pd4 GGA-PBE relaxed
# * energy of formation: -0.85 eV per atom
data_Sr2SmAs3Pd4
_chemical_formula_sum 'Sr2 Sm1 As3 Pd4'
_space_group_name_H-M_alt 'P -4 m 2'
_space_group_IT_number 115
_cell_length_a 4.360
_cell_length_b 4.360
_cell_length_c 11.554
_cell_angle_alpha 90.00
_cell_angle_beta 90.00
_cell_angle_gamma 90.00
loop_
_space_group_symop_operation_xyz
'x,y,z'
'y,-x,-z'
'-x,-y,z'
'-y,x,-z'
'-x,y,z'
'-y,-x,-z'
'x,-y,z'
'y,x,-z'
loop_
_atom_site_label
_atom_site_type_symbol
_atom_site_fract_x
_atom_site_fract_y
_atom_site_fract_z
_atom_site_occupancy
Sr1 Sr 0.000 0.500 0.219 1
Sm1 Sm 0.000 0.000 0.500 1
As1 As 0.000 0.500 0.877 1
As2 As 0.500 0.500 0.500 1
Pd1 Pd 0.000 0.000 0.000 1
Pd2 Pd 0.000 0.500 0.660 1
Pd3 Pd 0.500 0.500 0.000 1



# Sm4Te2AsPd GGA-PBE relaxed
# * ΔE_f (raw): -1.264 eV/atom
data_Sm4Te2AsPd
_chemical_formula_sum 'Sm4 Te2 As1 Pd1'
_space_group_name_H-M_alt 'P 1 2/m 1'
_space_group_IT_number 10
_cell_length_a 7.520
_cell_length_b 4.261
_cell_length_c 7.597
_cell_angle_alpha 90.00
_cell_angle_beta 108.88
_cell_angle_gamma 90.00
loop_
_space_group_symop_operation_xyz
'x,y,z'
'-x,-y,-z'
'-x,y,-z'
'x,-y,z'
loop_
_atom_site_label
_atom_site_type_symbol
_atom_site_fract_x
_atom_site_fract_y
_atom_site_fract_z
_atom_site_occupancy
Sm1 Sm 0.238 0.000 0.220 1
Sm2 Sm 0.262 0.500 0.775 1
Te1 Te 0.000 0.000 0.500 1
Te2 Te 0.500 0.500 0.500 1
As1 As 0.500 0.000 0.000 1
Pd1 Pd 0.000 0.500 0.000 1



# SmTl2As2Pd7 GGA-PBE relaxed
# * energy of formation: -0.42 eV per atom
data_SmTl2As2Pd7
_chemical_formula_sum 'Sm2 Tl4 As4 Pd14'
_space_group_name_H-M_alt 'C 1 2/m 1'
_space_group_IT_number 12
_cell_length_a 5.775
_cell_length_b 5.765
_cell_length_c 14.669
_cell_angle_alpha 90.00
_cell_angle_beta 96.69
_cell_angle_gamma 90.00
loop_
_space_group_symop_operation_xyz
'x,y,z'
'-x,-y,-z'
'-x,y,-z'
'x,-y,z'
'x+1/2,y+1/2,z'
'-x+1/2,-y+1/2,-z'
'-x+1/2,y+1/2,-z'
'x+1/2,-y+1/2,z'
loop_
_atom_site_label
_atom_site_type_symbol
_atom_site_fract_x
_atom_site_fract_y
_atom_site_fract_z
_atom_site_occupancy
Sm1 Sm 0.000 0.000 0.000 1
Tl1 Tl 0.104 0.000 0.400 1
As1 As 0.076 0.500 0.248 1
Pd1 Pd 0.000 0.500 0.000 1
Pd2 Pd 0.101 0.500 0.416 1
Pd3 Pd 0.204 0.251 0.850 1